5
Lattice="4.156 0.000 0.000 0.000 4.156 0.000 0.000 0.000 4.156" Properties=species:S:1:pos:R:3 comment="Be3AsPd, single point on PBEsol structure, DFT meta-GGA SCAN" delta_e_f_kj_per_mol_atoms=72.86 energy_ev_per_atom=-12.450 pbc="T T T"
Be 0.000 0.000 2.078
Be 0.000 2.078 0.000
Be 2.078 0.000 0.000
As 0.000 0.000 0.000
Pd 2.078 2.078 2.078

***

5
Lattice="-1.806 1.806 5.451 1.806 -1.806 5.451 1.806 1.806 -5.451" Properties=species:S:1:pos:R:3 comment="Be2As2Pt, single point on PBEsol structure, DFT meta-GGA SCAN" delta_e_f_kj_per_mol_atoms=38.18 energy_ev_per_atom=-23.461 pbc="T T T"
Be 0.000 0.000 1.029
Be 0.000 0.000 9.874
As 1.806 0.000 2.726
As 0.000 1.806 2.726
Pt 0.000 0.000 5.451

***

5
Lattice="4.138 0.000 0.000 0.000 4.138 0.000 0.000 0.000 4.138" Properties=species:S:1:pos:R:3 comment="Be3AsPt, single point on PBEsol structure, DFT meta-GGA SCAN" delta_e_f_kj_per_mol_atoms=67.24 energy_ev_per_atom=-19.992 pbc="T T T"
Be 0.000 0.000 2.069
Be 0.000 2.069 0.000
Be 2.069 0.000 0.000
As 0.000 0.000 0.000
Pt 2.069 2.069 2.069

***

5
Lattice="4.121 0.000 0.000 0.000 4.121 0.000 0.000 0.000 4.512" Properties=species:S:1:pos:R:3 comment="Be2AsPtRh, single point on PBEsol structure, DFT meta-GGA SCAN" delta_e_f_kj_per_mol_atoms=30.93 energy_ev_per_atom=-26.252 pbc="T T T"
Be 0.000 2.060 0.000
Be 2.060 0.000 0.000
As 0.000 0.000 2.256
Pt 2.060 2.060 2.256
Rh 0.000 0.000 0.000

***

5
Lattice="5.100 0.000 0.000 0.000 5.100 0.000 0.000 0.000 4.546" Properties=species:S:1:pos:R:3 comment="BeAsPtSe2, single point on PBEsol structure, DFT meta-GGA SCAN" energy_ev_per_atom=-26.107 e_form_raw_kj_per_mol_fu=420 pbc="T T T"
Be 0.000 0.000 0.000
As 2.550 2.550 0.000
Pt 2.550 2.550 2.273
Se 0.000 2.550 2.273
Se 2.550 0.000 2.273

***

5
Lattice="4.576 0.000 0.000 0.000 4.576 0.000 0.000 0.000 4.038" Properties=species:S:1:pos:R:3 comment="BeSiAsPt2, single point on PBEsol structure, DFT meta-GGA SCAN" energy_ev_per_atom=-34.526 e_form_raw_kj_per_mol_fu=223 pbc="T T T"
Be 0.000 0.000 0.000
Si 0.000 0.000 2.019
As 2.288 2.288 0.000
Pt 0.000 2.288 2.019
Pt 2.288 0.000 2.019